Record 1
BaTlAs2Se PBE relaxed; energy relative to the lowest polymorph listed for this composition = 0.000 eV/atom; formation energy (no corrections) = -49 meV per atom; SG = P4/mmm (123); final energy = -3.46 eV/atom; total magnetic moment = 0.000 μB per atom
1.0
5.3577 0.0000 0.0000
0.0000 5.3577 0.0000
0.0000 0.0000 5.6055
Ba Tl As Se
1 1 2 1
Cartesian
0.0000 0.0000 0.0000 Ba
2.6789 2.6789 2.8027 Tl
0.0000 2.6789 2.8027 As
2.6789 0.0000 2.8027 As
2.6789 2.6789 0.0000 Se

Record 2
TmGa4NiIr2 PBE relaxed; calculated formation energy = -0.51 eV per atom; SG = R-3m (166); final energy = -5.52 eV/atom; total magnetic moment = 0.000 μB per atom
1.0
2.1148 1.2210 8.3370
-2.1148 1.2210 8.3370
0.0000 -2.4420 8.3370
Tm Ga Ni Ir
1 4 1 2
Cartesian
0.0000 0.0000 0.0000 Tm
0.0000 0.0000 3.3188 Ga
0.0000 0.0000 9.9622 Ga
0.0000 0.0000 15.0486 Ga
0.0000 0.0000 21.6921 Ga
0.0000 0.0000 12.5054 Ni
0.0000 0.0000 5.9215 Ir
0.0000 0.0000 19.0893 Ir

Record 3
Sc2Ga6Mo PBE relaxed; calculated formation energy = -0.31 eV per atom; SG = C2/m (12); final energy = -4.94 eV/atom; total magnetic moment = 0.000 μB per atom
1.0
4.9630 -2.8638 0.0000
4.9630 2.8638 0.0000
-0.0093 0.0000 5.6479
Sc Ga Mo
2 6 1
Cartesian
1.6496 0.0000 0.8964 Sc
8.2671 0.0000 4.7514 Sc
4.0633 1.5497 1.8020 Ga
3.1611 0.0000 3.8434 Ga
5.8534 1.5497 3.8459 Ga
4.0633 -1.5497 1.8020 Ga
6.7556 0.0000 1.8045 Ga
5.8534 -1.5497 3.8459 Ga
4.9630 0.0000 0.0000 Mo

What did the second record say?
TmGa4NiIr2 PBE relaxed; calculated formation energy = -0.51 eV per atom; SG = R-3m (166); final energy = -5.52 eV/atom; total magnetic moment = 0.000 μB per atom
1.0
2.1148 1.2210 8.3370
-2.1148 1.2210 8.3370
0.0000 -2.4420 8.3370
Tm Ga Ni Ir
1 4 1 2
Cartesian
0.0000 0.0000 0.0000 Tm
0.0000 0.0000 3.3188 Ga
0.0000 0.0000 9.9622 Ga
0.0000 0.0000 15.0486 Ga
0.0000 0.0000 21.6921 Ga
0.0000 0.0000 12.5054 Ni
0.0000 0.0000 5.9215 Ir
0.0000 0.0000 19.0893 Ir

Among the records above, which one has the highest final energy? BaTlAs2Se

Which value of final energy does entry 2 give? -5.52 eV/atom